The following is a PBE calculation of a relaxed Nd2Al8Co crystal, from OQMD.

a b c (Å): 4.2834 4.2834 11.3739
angles (deg): 90.00 90.00 90.00
With the nearest neighbours (Å) after each atom.
Positions (direct):
Nd (0.0000, 0.0000, 0.1947)  12 Al 3.03-3.08
Nd (0.0000, 0.0000, 0.8053)  12 Al 3.03-3.08
Al (0.0000, 0.5000, 0.0000)  8 Al 3.03-3.09, 4 Nd 3.08
Al (0.0000, 0.5000, 0.3866)  2 Co 2.50, 1 Al 2.58
Al (0.0000, 0.5000, 0.6134)  2 Co 2.50, 1 Al 2.58
Al (0.5000, 0.0000, 0.0000)  8 Al 3.03-3.09, 4 Nd 3.08
Al (0.5000, 0.0000, 0.3866)  2 Co 2.50, 1 Al 2.58
Al (0.5000, 0.0000, 0.6134)  2 Co 2.50, 1 Al 2.58
Al (0.5000, 0.5000, 0.1954)  4 Nd 3.03, 8 Al 3.05-3.09
Al (0.5000, 0.5000, 0.8046)  4 Nd 3.03, 8 Al 3.05-3.09
Co (0.0000, 0.0000, 0.5000)  8 Al 2.50

Summary:
Space group: P4/mmm
DFT total energy, eV/atom: -4.64
M_tot, μB per formula unit: 0.0